Pd2OF PBE-GGA optimized geometry; size of the total moment = 0.54 μB per atom; ΔE_f (raw) = 62 meV/atom
1.0
0.670 1.332 3.796
-3.023 1.738 2.114
-1.659 -1.957 3.170
Pd F O
2 1 1
Direct
0.250 0.250 0.250
0.750 0.750 0.750
0.500 0.500 0.500
0.000 0.000 0.000

Pd2O2F7 PBE-GGA optimized geometry; size of the total moment = 0.10 μB per atom; ΔE_f (raw) = -844 meV/atom
1.0
-4.087 3.418 -1.290
-4.063 -1.006 3.541
2.460 3.976 3.629
F O Pd
7 2 2
Direct
0.058 0.514 0.803
0.435 0.435 0.179
0.000 0.000 0.000
0.514 0.058 0.803
0.565 0.565 0.821
0.942 0.486 0.197
0.486 0.942 0.197
0.093 0.907 0.500
0.907 0.093 0.500
0.238 0.238 0.032
0.762 0.762 0.968

Pd3OF PBE-GGA optimized geometry; size of the total moment = 0.00 μB per atom; ΔE_f (raw) = 3 meV/atom
1.0
-2.254 0.511 3.487
-0.713 -4.120 0.143
3.451 -0.517 2.307
Pd O F
3 1 1
Direct
0.000 0.000 0.500
0.000 0.500 0.000
0.500 0.000 0.000
0.000 0.000 0.000
0.500 0.500 0.500

PdOF2 PBE-GGA optimized geometry; size of the total moment = 0.48 μB per atom; ΔE_f (raw) = 55 meV/atom
1.0
3.399 0.000 0.000
0.000 3.399 0.000
1.700 1.700 7.545
F Pd O
4 2 2
Direct
0.875 0.899 0.750
0.101 0.625 0.250
0.649 0.125 0.250
0.375 0.351 0.750
0.000 0.000 0.000
0.750 0.250 0.500
0.250 0.750 0.500
0.500 0.500 0.000